Computed, not measured: crystalline SrMoPb2 at its relaxed geometry at the PBE-GGA level of DFT.

Unit cell a=3.304 b=3.304 c=10.290 alpha=90.00 beta=90.00 gamma=101.06
Fractional coordinates of all 4 atoms:
Mo: 0.500 0.500 0.767
Pb: 0.500 0.500 0.242
Pb: 0.000 0.000 0.961
Sr: 0.000 0.000 0.531

As for the calculated formation energy: 60 kJ/mol of atoms. The relative energy among the computed polymorphs comes out at 403 meV per atom. For the total moment, the calculation gives 0.00 μB per cell. The symmetry is Cmm2.

***

Computed, not measured: crystalline SrMoPb2 at its relaxed geometry at the PBE-GGA level of DFT.

Unit cell a=6.058 b=6.058 c=6.058 alpha=143.06 beta=121.51 gamma=71.22
Last column: magnetic moment on the atom in μB.
Fractional coordinates of all 4 atoms:
Sr: 0.750 0.250 0.500  0.00
Pb: 0.469 0.469 0.000  -0.03
Pb: 0.031 0.031 0.000  -0.03
Mo: 0.250 0.750 0.500  1.45

As for the calculated formation energy: 37 kJ/mol of atoms. The relative energy among the computed polymorphs comes out at 166 meV per atom. For the total moment, the calculation gives 1.61 μB per cell. The symmetry is Immm.